(1)
# Nd2Sb4Rh3Au

An optimized crystal structure of Nd2Sb4Rh3Au (PBE, Alexandria).

Cell and atoms, written as extended XYZ:
```
10
Lattice="-1.480 2.819 -3.333 -3.393 -2.957 -0.994 -6.278 4.879 6.913" Properties=species:S:1:pos:R:3 pbc="T T T"
Nd -2.319 2.637 0.073
Nd -6.395 2.173 4.677
Sb -2.436 -0.069 -2.164
Sb 0.000 0.000 0.000
Sb -4.748 4.525 2.747
Sb -3.966 0.285 2.002
Rh -3.139 2.440 3.457
Rh -6.274 5.711 4.428
Rh -2.440 -0.901 0.321
Au -5.575 2.370 1.293
```

(2)
# NdScRhAu

An optimized crystal structure of NdScRhAu (PBE, Alexandria).

Cell and atoms, written as extended XYZ:
```
4
Lattice="4.942 0.000 0.000 2.471 4.279 0.000 2.471 1.426 4.035" Properties=species:S:1:pos:R:3 pbc="T T T"
Sc 7.412 4.279 3.026
Nd 2.471 1.426 1.009
Au 4.942 2.853 2.017
Rh 0.000 0.000 0.000
```

(3)
# Nd6Rh2AuSe3

An optimized crystal structure of Nd6Rh2AuSe3 (PBE, Alexandria).

Cell and atoms, written as extended XYZ:
```
12
Lattice="7.177 -0.002 -0.001 -3.589 6.215 -0.001 -1.198 -2.075 7.322" Properties=species:S:1:pos:R:3 pbc="T T T"
Nd 3.654 1.951 5.608
Nd 2.325 4.026 1.693
Nd -1.264 2.187 1.712
Nd -0.136 4.140 5.608
Nd 0.065 0.113 5.626
Nd 2.526 -0.001 1.712
Rh -0.008 4.147 -0.001
Rh 3.596 2.066 -0.001
Au 0.000 0.000 0.000
Se -2.440 4.169 3.660
Se 4.830 -0.030 3.660
Se 1.195 2.069 3.660
```

(4)
# NdSnRhAu

An optimized crystal structure of NdSnRhAu (PBE, Alexandria).

Cell and atoms, written as extended XYZ:
```
4
Lattice="-2.576 -0.928 4.112 2.347 -0.570 4.310 -0.392 3.461 3.504" Properties=species:S:1:pos:R:3 pbc="T T T"
Nd -0.155 0.491 2.981
Au -0.311 0.981 5.963
Sn -0.466 1.472 8.944
Rh 0.000 0.000 0.000
```

(5)
# Nd2Sn4Rh3Au

An optimized crystal structure of Nd2Sn4Rh3Au (PBE, Alexandria).

Cell and atoms, written as extended XYZ:
```
10
Lattice="-1.970 4.076 0.384 -2.601 -1.575 3.375 7.544 2.968 7.198" Properties=species:S:1:pos:R:3 pbc="T T T"
Nd 0.865 2.766 1.957
Nd 4.393 1.452 7.121
Sn -2.286 1.251 1.880
Sn 0.000 0.000 0.000
Sn 3.818 3.928 4.775
Sn 1.440 0.291 4.303
Rh 3.772 1.484 3.599
Rh 5.601 4.629 6.476
Rh -0.343 -0.410 2.602
Au 1.486 2.734 5.479
```

(6)
# Nd2Sn3Rh4Au

An optimized crystal structure of Nd2Sn3Rh4Au (PBE, Alexandria).

Cell and atoms, written as extended XYZ:
```
10
Lattice="4.302 0.000 0.000 0.000 4.302 0.000 0.000 0.000 11.553" Properties=species:S:1:pos:R:3 pbc="T T T"
Nd 2.151 0.000 3.065
Nd 0.000 2.151 8.488
Sn 0.000 0.000 5.776
Sn 2.151 0.000 10.071
Sn 0.000 2.151 1.482
Rh 2.151 2.151 0.000
Rh 0.000 0.000 0.000
Rh 2.151 0.000 7.489
Rh 0.000 2.151 4.063
Au 2.151 2.151 5.776
```

(7)
4
Lattice="-2.630 0.091 4.465 -0.353 -4.290 2.887 2.538 -0.305 4.509" Properties=species:S:1:pos:R:3 comment="SrNdRhAu (PBE, optimized geometry)" relative_energy_mev_per_atom=67.5 pbc="T T T"
Nd -0.111 -1.126 2.965
Au 0.000 0.000 0.000
Rh -0.222 -2.252 5.931
Sr -0.334 -3.378 8.896

(8)
4
Lattice="4.091 0.000 0.000 0.000 4.365 0.000 -2.045 0.000 5.841" Properties=species:S:1:pos:R:3 comment="SrNdRhAu (PBE, optimized geometry)" relative_energy_mev_per_atom=0.0 pbc="T T T"
Sr 0.000 0.000 1.715
Nd 2.045 2.183 4.260
Rh 0.000 0.000 4.823
Au 2.045 2.183 0.885

DOS(E_F), record by record: 0.42; 1.14; 0.66; 0.61; 0.62; 0.64; 0.34; 0.70 states/eV per atom
Calculated total energy, record by record: -5.86; -6.12; -5.97; -5.41; -5.75; -6.06; -4.82; -4.89 eV/atom